## AcAlGaH (GGA-PBE)

Data for crystalline AcAlGaH at its relaxed geometry.

Unit cell a=4.426 b=4.426 c=4.664 alpha=90.00 beta=90.00 gamma=120.00
Element x y z (fractional)
1 Ac 0.905 0.811 0.783
2 Al 0.239 0.477 0.270
3 Ga 0.572 0.144 0.312
4 H 0.239 0.477 0.875

Summary:
As for the density of states at the Fermi level: 0.07 states/eV/cell. The total energy comes out at -4.107 eV per atom.

***

## K2Zn2S3O12 (GGA-PBE)

Data for crystalline K2Zn2S3O12 at its relaxed geometry.

Unit cell a=10.083 b=10.083 c=10.083 alpha=90.00 beta=90.00 gamma=90.00
Element x y z (fractional)
1 K 0.685 0.185 0.315
2 K 0.315 0.685 0.185
3 K 0.949 0.551 0.449
4 K 0.185 0.315 0.685
5 K 0.051 0.051 0.051
6 K 0.449 0.949 0.551
7 K 0.551 0.449 0.949
8 K 0.815 0.815 0.815
9 Zn 0.334 0.334 0.334
10 Zn 0.166 0.666 0.834
11 Zn 0.834 0.166 0.666
12 Zn 0.666 0.834 0.166
13 Zn 0.591 0.591 0.591
14 Zn 0.091 0.909 0.409
15 Zn 0.409 0.091 0.909
16 Zn 0.909 0.409 0.091
17 S 0.280 0.624 0.519
18 S 0.780 0.876 0.481
19 S 0.720 0.124 0.981
20 S 0.876 0.481 0.780
21 S 0.981 0.720 0.124
22 S 0.481 0.780 0.876
23 S 0.624 0.519 0.280
24 S 0.519 0.280 0.624
25 S 0.124 0.981 0.720
26 S 0.220 0.376 0.019
27 S 0.019 0.220 0.376
28 S 0.376 0.019 0.220
29 O 0.250 0.594 0.660
30 O 0.750 0.906 0.340
31 O 0.750 0.094 0.840
32 O 0.906 0.340 0.750
33 O 0.840 0.750 0.094
34 O 0.340 0.750 0.906
35 O 0.594 0.660 0.250
36 O 0.660 0.250 0.594
37 O 0.094 0.840 0.750
38 O 0.406 0.160 0.250
39 O 0.160 0.250 0.406
40 O 0.250 0.406 0.160
41 O 0.260 0.499 0.442
42 O 0.760 0.001 0.558
43 O 0.740 0.999 0.058
44 O 0.001 0.558 0.760
45 O 0.058 0.740 0.999
46 O 0.558 0.760 0.001
47 O 0.995 0.580 0.172
48 O 0.499 0.442 0.260
49 O 0.999 0.058 0.740
50 O 0.501 0.942 0.240
51 O 0.942 0.240 0.501
52 O 0.240 0.501 0.942
53 O 0.420 0.672 0.505
54 O 0.920 0.828 0.495
55 O 0.580 0.172 0.995
56 O 0.828 0.495 0.920
57 O 0.310 0.275 0.962
58 O 0.962 0.310 0.275
59 O 0.275 0.962 0.310
60 O 0.225 0.038 0.810
61 O 0.462 0.190 0.725
62 O 0.725 0.462 0.190
63 O 0.538 0.690 0.775
64 O 0.038 0.810 0.225
65 O 0.775 0.538 0.690
66 O 0.810 0.225 0.038
67 O 0.690 0.775 0.538
68 O 0.190 0.725 0.462
69 O 0.080 0.328 0.005
70 O 0.005 0.080 0.328
71 O 0.328 0.005 0.080
72 O 0.172 0.995 0.580
73 O 0.505 0.420 0.672
74 O 0.672 0.505 0.420
75 O 0.495 0.920 0.828
76 O 0.442 0.260 0.499

Summary:
As for the density of states at the Fermi level: 0.00 states/eV/cell. The formation energy (no corrections) comes out at -1.58 eV per atom. The total energy comes out at -5.616 eV per atom.

***

## LiS (GGA-PBE)

Data for crystalline LiS at its relaxed geometry.

Unit cell a=3.552 b=3.552 c=3.552 alpha=60.00 beta=60.00 gamma=60.00
Element x y z (fractional)
1 Li 0.500 0.500 0.500
2 S 0.000 0.000 0.000

Summary:
As for the density of states at the Fermi level: 2.25 states/eV/cell. The formation energy (no corrections) comes out at -0.50 eV per atom. The total energy comes out at -3.523 eV per atom.

***

## Ba3CoN3 (GGA-PBE)

Data for crystalline Ba3CoN3 at its relaxed geometry.

Unit cell a=8.122 b=8.122 c=5.624 alpha=90.00 beta=90.00 gamma=120.00
Element x y z (fractional)
1 Ba 0.920 0.637 0.250
2 Ba 0.717 0.080 0.250
3 Ba 0.363 0.283 0.250
4 Ba 0.080 0.363 0.750
5 Ba 0.283 0.920 0.750
6 Ba 0.637 0.717 0.750
7 Co 0.667 0.333 0.750
8 Co 0.333 0.667 0.250
9 N 0.872 0.557 0.750
10 N 0.684 0.128 0.750
11 N 0.443 0.316 0.750
12 N 0.128 0.443 0.250
13 N 0.316 0.872 0.250
14 N 0.557 0.684 0.250

Summary:
As for the density of states at the Fermi level: 7.31 states/eV/cell. The formation energy (no corrections) comes out at -0.42 eV per atom. The total energy comes out at -5.825 eV per atom.

***

## MgBrN3 (GGA-PBE)

Data for crystalline MgBrN3 at its relaxed geometry.

Unit cell a=3.878 b=3.878 c=3.878 alpha=90.00 beta=90.00 gamma=90.00
Element x y z (fractional)
1 Mg 0.500 0.500 0.500
2 Br 0.000 0.000 0.000
3 N 0.000 0.500 0.000
4 N 0.000 0.000 0.500
5 N 0.500 0.000 0.000

Summary:
As for the density of states at the Fermi level: 2.88 states/eV/cell. The formation energy (no corrections) comes out at 2.08 eV per atom. The total energy comes out at -3.566 eV per atom.

***

## CdAg2P (GGA-PBE)

Data for crystalline CdAg2P at its relaxed geometry.

Unit cell a=4.151 b=4.151 c=9.670 alpha=77.61 beta=77.61 gamma=90.00
Element x y z (fractional)
1 P 0.500 0.500 0.000
2 P 0.250 0.750 0.500
3 Ag 0.602 0.125 0.250
4 Ag 0.148 0.625 0.250
5 Ag 0.375 0.398 0.750
6 Ag 0.875 0.852 0.750
7 Cd 0.000 0.000 0.000
8 Cd 0.750 0.250 0.500

Summary:
For the formation energy, the calculation gives 0.24 eV per atom. As for the density of states at the Fermi level: 3.36 states/eV/cell. The total energy comes out at -2.770 eV per atom.

***

## HoErSbSe (GGA-PBE)

Data for crystalline HoErSbSe at its relaxed geometry.

Unit cell a=4.221 b=4.222 c=5.961 alpha=90.02 beta=90.00 gamma=90.00
Element x y z (fractional)
1 Ho 0.500 0.391 0.093
2 Er 0.000 0.892 0.592
3 Sb 0.000 0.891 0.092
4 Se 0.500 0.392 0.593

Summary:
As for the density of states at the Fermi level: 1.32 states/eV/cell. The formation energy (no corrections) comes out at -1.40 eV per atom. The total energy comes out at -5.586 eV per atom.

***

## Tb2Nd2Sb3 (GGA-PBE)

Data for crystalline Tb2Nd2Sb3 at its relaxed geometry.

Unit cell a=8.118 b=8.118 c=8.118 alpha=109.47 beta=109.47 gamma=109.47
Element x y z (fractional)
1 Tb 0.000 0.000 0.861
2 Tb 0.500 0.861 0.500
3 Tb 0.139 0.639 0.639
4 Tb 0.361 0.500 0.000
5 Nd 0.500 0.353 0.500
6 Nd 0.000 0.000 0.353
7 Nd 0.647 0.147 0.147
8 Nd 0.853 0.500 0.000
9 Sb 0.750 0.631 0.381
10 Sb 0.250 0.869 0.119
11 Sb 0.619 0.750 0.869
12 Sb 0.881 0.250 0.631
13 Sb 0.369 0.119 0.750
14 Sb 0.131 0.381 0.250

Summary:
As for the density of states at the Fermi level: 14.09 states/eV/cell. The formation energy (no corrections) comes out at -1.03 eV per atom. The total energy comes out at -5.482 eV per atom.

***

## EuHgAu (GGA-PBE)

Data for crystalline EuHgAu at its relaxed geometry.

Unit cell a=4.972 b=4.972 c=4.972 alpha=60.00 beta=60.00 gamma=60.00
Element x y z (fractional)
1 Eu 0.000 0.000 0.000
2 Au 0.250 0.250 0.250
3 Hg 0.500 0.500 0.500

Summary:
For the formation energy, the calculation gives -0.55 eV per atom. As for the density of states at the Fermi level: 8.87 states/eV/cell. The total energy comes out at -5.169 eV per atom.

***

## Ce5Sc3Se8 (GGA-PBE)

Data for crystalline Ce5Sc3Se8 at its relaxed geometry.

Unit cell a=8.124 b=8.124 c=8.201 alpha=60.31 beta=60.31 gamma=60.00
Element x y z (fractional)
1 Ce 0.500 0.000 0.000
2 Ce 0.500 0.500 0.000
3 Ce 0.000 0.000 0.000
4 Ce 0.000 0.500 0.000
5 Ce 0.500 0.500 0.500
6 Sc 0.500 0.000 0.500
7 Sc 0.000 0.000 0.500
8 Sc 0.000 0.500 0.500
9 Se 0.250 0.250 0.732
10 Se 0.250 0.768 0.732
11 Se 0.768 0.250 0.732
12 Se 0.759 0.759 0.724
13 Se 0.750 0.750 0.268
14 Se 0.750 0.232 0.268
15 Se 0.232 0.750 0.268
16 Se 0.241 0.241 0.276

Summary:
As for the density of states at the Fermi level: 31.32 states/eV/cell. The formation energy (no corrections) comes out at -1.72 eV per atom. The total energy comes out at -6.500 eV per atom.

***

## PmTiSbAu (GGA-PBE)

Data for crystalline PmTiSbAu at its relaxed geometry.

Unit cell a=5.080 b=5.080 c=5.080 alpha=60.00 beta=60.00 gamma=60.00
Element x y z (fractional)
1 Sb 0.250 0.250 0.250
2 Ti 0.500 0.500 0.500
3 Au 0.750 0.750 0.750
4 Pm 0.000 0.000 0.000

Summary:
As for the density of states at the Fermi level: 3.24 states/eV/cell. The formation energy (no corrections) comes out at -0.46 eV per atom. The total energy comes out at -5.471 eV per atom.

***

## YZnCu2Au (GGA-PBE)

Data for crystalline YZnCu2Au at its relaxed geometry.

Unit cell a=4.828 b=5.356 c=4.828 alpha=90.00 beta=90.00 gamma=90.00
Element x y z (fractional)
1 Y 0.000 0.500 0.000
2 Zn 0.500 0.500 0.500
3 Au 0.000 0.000 0.000
4 Cu 0.000 0.000 0.500
5 Cu 0.500 0.000 0.000

Summary:
For the formation energy, the calculation gives 0.40 eV per atom. As for the density of states at the Fermi level: 2.64 states/eV/cell. The total energy comes out at -3.445 eV per atom.